BeMo2O GGA+U relaxed; calculated density = 7.7 g/cm3; crystal system = cubic; M_tot = 0.0 μB/cell; energy above the lowest structure with this stoichiometry = 336 meV/atom; space group = Fm-3m, No. 225
1.0
0.0000 2.8572 2.8572
2.8572 0.0000 2.8572
2.8572 2.8572 0.0000
Be Mo O
1 2 1
Direct
0.0000 0.0000 0.0000
0.2500 0.2500 0.2500
0.7500 0.7500 0.7500
0.5000 0.5000 0.5000